LiYPO2: relaxed, PBEsol.

Cell lengths 4.2970, 4.2970, 5.5661 Å; angles 90.00, 90.00, 90.00 degrees
Positions (direct):
Li 0.0000 0.0000 0.0000
Y 0.5000 0.5000 0.5000
P 0.5000 0.5000 0.0000
O 0.0000 0.5000 0.5000
O 0.5000 0.0000 0.5000

Calculated values
Its space group is P4/mmm, No. 123. The calculation puts the size of the total moment at 2.89 μB/f.u. The calculation puts the density of states at the Fermi level at 3.58 states/eV per cell. The value obtained for the raw formation energy is -903 meV/atom.